# 1
DFT (GGA-PBE) results for a geometry-optimized AlCo2W structure.

Unit cell a=4.931 b=4.931 c=4.931 alpha=145.67 beta=130.06 gamma=62.00
Each line ends with the local moment (μB).
Sites, in units of the cell vectors:
W 0.495 0.495 0.000  0.14
Co 0.250 0.750 0.500  -0.07
Co 0.994 0.994 0.000  1.04
Al 0.761 0.261 0.500  0.01

Results
E_tot ... -7.792 eV per atom
Space group ... Imm2 (44)
Theoretical density ... 10.7 g/cm3
Magnetization ... 1.15 μB/f.u.

# 2
DFT (GGA-PBE) results for a geometry-optimized LiNi2W structure.

Unit cell a=8.680 b=8.680 c=8.680 alpha=17.72 beta=17.72 gamma=17.72
Sites, in units of the cell vectors:
Li 0.750 0.750 0.750
Ni 0.000 0.000 0.000
Ni 0.500 0.500 0.500
W 0.250 0.250 0.250

Results
E_tot ... -6.442 eV per atom
Space group ... R-3m (166)
Theoretical density ... 9.7 g/cm3
Magnetization ... 0.00 μB/f.u.

# 3
DFT (GGA-PBE) results for a geometry-optimized Gd2ErO structure.

Unit cell a=3.216 b=3.216 c=8.799 alpha=90.00 beta=90.00 gamma=90.00
Each line ends with the local moment (μB).
Sites, in units of the cell vectors:
O 0.500 0.500 0.000  -0.01
Gd 0.000 0.000 0.174  7.35
Gd 0.000 0.000 0.826  7.35
Er 0.500 0.500 0.500  0.06

Results
E_tot ... -10.293 eV per atom
Space group ... P4/mmm (123)
Theoretical density ... 9.1 g/cm3
Magnetization ... 15.33 μB/f.u.
Energy above the lowest structure with this stoichiometry ... 431 meV per atom

# 4
DFT (GGA-PBE) results for a geometry-optimized Ta4NbAu structure.

Unit cell a=4.498 b=4.498 c=6.303 alpha=90.00 beta=90.00 gamma=90.00
Sites, in units of the cell vectors:
Ta 0.497 0.001 0.762
Ta 0.997 0.501 0.241
Ta 0.997 0.501 0.762
Ta 0.497 0.001 0.241
Nb 0.497 0.501 0.002
Au 0.997 0.001 0.502

Results
E_tot ... -9.415 eV per atom
Space group ... P4/mmm (123)
Theoretical density ... 13.2 g/cm3
Magnetization ... 0.00 μB/f.u.

# 5
DFT (GGA-PBE) results for a geometry-optimized NaIn9Sn2 structure.

Unit cell a=5.019 b=5.019 c=12.996 alpha=90.00 beta=90.00 gamma=90.00
Sites, in units of the cell vectors:
In 0.500 0.000 0.170
In 0.500 0.500 0.664
In 0.500 0.500 0.000
In 0.000 0.500 0.170
In 0.500 0.000 0.830
In 0.000 0.500 0.500
In 0.500 0.000 0.500
In 0.000 0.500 0.830
In 0.500 0.500 0.336
Sn 0.000 0.000 0.670
Sn 0.000 0.000 0.330
Na 0.000 0.000 0.000

Results
E_tot ... -2.843 eV per atom
Space group ... P4/mmm (123)
Theoretical density ... 6.6 g/cm3
Magnetization ... 0.00 μB/f.u.

# 6
DFT (GGA-PBE) results for a geometry-optimized PmSmAlAg structure.

Unit cell a=5.276 b=5.276 c=5.276 alpha=60.00 beta=60.00 gamma=60.00
Sites, in units of the cell vectors:
Ag 0.250 0.250 0.250
Al 0.750 0.750 0.750
Sm 0.500 0.500 0.500
Pm 0.000 0.000 0.000

Results
E_tot ... -4.314 eV per atom
Space group ... F-43m (216)
Theoretical density ... 6.9 g/cm3
Magnetization ... 0.01 μB/f.u.
Energy above the lowest structure with this stoichiometry ... 28 meV per atom

# 7
DFT (GGA-PBE) results for a geometry-optimized Pm8Ge5Te structure.

Unit cell a=7.923 b=7.923 c=7.923 alpha=109.22 beta=109.97 gamma=109.22
Sites, in units of the cell vectors:
Pm 0.629 0.379 0.876
Pm 0.124 0.754 0.503
Pm 0.749 0.246 0.371
Pm 0.497 0.621 0.251
Pm 0.259 0.243 0.361
Pm 0.639 0.898 0.882
Pm 0.118 0.757 0.016
Pm 0.984 0.102 0.741
Ge 0.874 0.879 0.252
Ge 0.748 0.622 0.627
Ge 0.500 0.000 0.500
Ge 0.373 0.121 0.995
Ge 0.005 0.378 0.126
Te 0.250 0.500 0.750

Results
E_tot ... -5.485 eV per atom
Space group ... I-4 (82)
Theoretical density ... 7.2 g/cm3
Magnetization ... 0.00 μB/f.u.

# 8
DFT (GGA-PBE) results for a geometry-optimized PrPuRhPb structure.

Unit cell a=5.272 b=5.272 c=5.272 alpha=60.00 beta=60.00 gamma=60.00
Each line ends with the local moment (μB).
Sites, in units of the cell vectors:
Pb 0.500 0.500 0.500  -0.09
Pu 0.750 0.750 0.750  5.32
Rh 0.000 0.000 0.000  -0.40
Pr 0.250 0.250 0.250  0.03

Results
E_tot ... -7.746 eV per atom
Space group ... F-43m (216)
Theoretical density ... 11.1 g/cm3
Magnetization ... 5.11 μB/f.u.

# 9
DFT (GGA-PBE) results for a geometry-optimized TiNb2AlN structure.

Unit cell a=4.361 b=4.361 c=3.950 alpha=90.00 beta=90.00 gamma=90.00
Sites, in units of the cell vectors:
Ti 0.000 0.000 0.500
Nb 0.500 0.000 0.000
Nb 0.000 0.500 0.000
N 0.000 0.000 0.000
Al 0.500 0.500 0.500

Results
E_tot ... -8.697 eV per atom
Space group ... P4/mmm (123)
Theoretical density ... 6.1 g/cm3
Magnetization ... 0.00 μB/f.u.

# 10
DFT (GGA-PBE) results for a geometry-optimized Cs2Bi2Pb structure.

Unit cell a=5.186 b=5.186 c=20.217 alpha=97.37 beta=97.37 gamma=90.00
Sites, in units of the cell vectors:
Cs 0.326 0.326 0.651
Cs 0.576 0.076 0.151
Cs 0.674 0.674 0.349
Cs 0.924 0.424 0.849
Pb 0.750 0.250 0.500
Pb 0.500 0.500 0.000
Bi 0.044 0.544 0.089
Bi 0.206 0.206 0.411
Bi 0.456 0.956 0.911
Bi 0.794 0.794 0.589

Results
E_tot ... -2.732 eV per atom
Space group ... I4_1/amd (141)
Theoretical density ... 5.5 g/cm3
Magnetization ... 0.00 μB/f.u.
Energy above the lowest structure with this stoichiometry ... 215 meV per atom

# 11
DFT (GGA-PBE) results for a geometry-optimized Sr2TbUO6 structure.

Unit cell a=5.997 b=6.136 c=8.559 alpha=90.00 beta=90.02 gamma=90.00
Each line ends with the local moment (μB).
Sites, in units of the cell vectors:
O 0.100 0.461 0.758  -0.02
O 0.696 0.288 0.556  -0.02
O 0.789 0.803 0.551  -0.02
O 0.196 0.212 0.056  -0.02
O 0.900 0.539 0.242  -0.02
O 0.804 0.788 0.944  -0.02
O 0.711 0.303 0.949  -0.02
O 0.289 0.697 0.051  -0.02
O 0.600 0.039 0.258  -0.02
O 0.211 0.197 0.449  -0.02
O 0.304 0.712 0.444  -0.02
O 0.400 0.961 0.742  -0.02
Sr 0.011 0.956 0.251  0.00
Sr 0.489 0.456 0.249  0.00
Sr 0.989 0.044 0.749  0.00
Sr 0.511 0.544 0.751  0.00
Tb 0.500 0.000 0.000  -0.01
Tb 0.000 0.500 0.500  -0.01
U 0.000 0.500 0.000  1.07
U 0.500 0.000 0.500  1.07

Results
E_tot ... -8.177 eV per atom
Space group ... P2_1/c (14)
Theoretical density ... 7.0 g/cm3
Magnetization ... 1.00 μB/f.u.

# 12
DFT (GGA-PBE) results for a geometry-optimized RbPuSnF6 structure.

Unit cell a=6.810 b=6.811 c=3.759 alpha=90.01 beta=89.94 gamma=59.92
Each line ends with the local moment (μB).
Sites, in units of the cell vectors:
F 0.277 0.593 0.262  -0.01
F 0.129 0.278 0.263  -0.01
F 0.593 0.130 0.261  -0.01
F 0.635 0.429 0.741  0.00
F 0.935 0.635 0.743  0.00
F 0.430 0.935 0.742  0.00
Sn 0.667 0.666 0.370  0.00
Rb 0.000 0.000 0.864  0.00
Pu 0.333 0.333 0.754  4.98

Results
E_tot ... -6.356 eV per atom
Space group ... P1 (1)
Theoretical density ... 6.2 g/cm3
Magnetization ... 5.00 μB/f.u.

| no. | calculated volume (Å³/cell) |
| --- | --- |
| 1 | 51.2 |
| 2 | 52.9 |
| 3 | 91.0 |
| 4 | 127.5 |
| 5 | 327.3 |
| 6 | 103.9 |
| 7 | 382.8 |
| 8 | 103.6 |
| 9 | 75.1 |
| 10 | 534.7 |
| 11 | 314.9 |
| 12 | 150.9 |